## Ba2TcNi (PBE)

Data for a relaxed structure of Ba2TcNi.

Computed properties:
Offset from the most stable computed form   14.25 kcal/mol of atoms
Crystal system   cubic
Energy of formation from the pure elements   0.921 eV per atom
Theoretical density   6.09 Mg/m³

a = 7.7783 Å, b = 7.7783 Å, c = 7.7783 Å
α = 90.00°, β = 90.00°, γ = 90.00°
Closest atoms and distances in Å follow each position.
Space group Fm-3m (No. 225)
Asymmetric unit:
Ba 0.2500 0.2500 0.2500 [8 per cell]  4 Ni 3.37, 4 Tc 3.37
Tc 0.0000 0.0000 0.0000 [4 per cell]  8 Ba 3.37
Ni 0.0000 0.0000 0.5000 [4 per cell]  8 Ba 3.37

***

## BaTcNi2Te (PBE)

Data for a relaxed structure of BaTcNi2Te.

Computed properties:
Formation energy without anion corrections   0.558 eV per atom
Crystal system   tetragonal
Theoretical density   6.64 Mg/m³

a = 4.8252 Å, b = 4.8252 Å, c = 5.1559 Å
α = 90.00°, β = 90.00°, γ = 90.00°
Closest atoms and distances in Å follow each position.
Space group P4/mmm (No. 123)
Asymmetric unit:
Ba 0.0000 0.0000 0.0000 [1 per cell]  4 Tc 3.41, 8 Ni 3.53
Tc 0.5000 0.5000 0.0000 [1 per cell]  2 Te 2.58
Ni 0.0000 0.5000 0.5000 [2 per cell]  2 Te 2.41
Te 0.5000 0.5000 0.5000 [1 per cell]  4 Ni 2.41, 2 Tc 2.58

***

## BaTl2TcNi (PBE)

Data for a relaxed structure of BaTl2TcNi.

Computed properties:
Crystal system   tetragonal
Energy of formation from the pure elements   0.770 eV per atom
Theoretical density   8.08 Mg/m³

a = 5.0766 Å, b = 5.0766 Å, c = 5.6039 Å
α = 90.00°, β = 90.00°, γ = 90.00°
Closest atoms and distances in Å follow each position.
Space group P4/mmm (No. 123)
Asymmetric unit:
Ba 0.0000 0.0000 0.0000 [1 per cell]  2 Ni 2.80
Tl 0.0000 0.5000 0.5000 [2 per cell]  2 Ni 2.54
Tc 0.5000 0.5000 0.0000 [1 per cell]  4 Ba 3.59, 8 Tl 3.78
Ni 0.0000 0.0000 0.5000 [1 per cell]  4 Tl 2.54, 2 Ba 2.80

***

## Ba2ZnTcNi (PBE)

Data for a relaxed structure of Ba2ZnTcNi.

Computed properties:
Crystal system   tetragonal
Energy of formation from the pure elements   0.918 eV per atom
Theoretical density   4.93 Mg/m³

a = 6.1239 Å, b = 6.1239 Å, c = 4.4658 Å
α = 90.00°, β = 90.00°, γ = 90.00°
Closest atoms and distances in Å follow each position.
Space group P4/mmm (No. 123)
Asymmetric unit:
Ba 0.0000 0.5000 0.0000 [2 per cell]  2 Zn 3.06
Zn 0.0000 0.0000 0.0000 [1 per cell]  2 Ni 2.23
Tc 0.5000 0.5000 0.5000 [1 per cell]  8 Ba 3.79
Ni 0.0000 0.0000 0.5000 [1 per cell]  2 Zn 2.23

***

## BaNiTe3 (PBE)

Data for a relaxed structure of BaNiTe3.

Computed properties:
Formation energy without anion corrections   -0.609 eV per atom
Crystal system   cubic
Theoretical density   6.68 Mg/m³

a = 5.2411 Å, b = 5.2411 Å, c = 5.2411 Å
α = 90.00°, β = 90.00°, γ = 90.00°
Closest atoms and distances in Å follow each position.
Space group Pm-3m (No. 221)
Asymmetric unit:
Ba 0.0000 0.0000 0.0000 [1 per cell]  12 Te 3.71
Ni 0.5000 0.5000 0.5000 [1 per cell]  6 Te 2.62
Te 0.0000 0.5000 0.5000 [3 per cell]  2 Ni 2.62

***

## Ba2NiTe (PBE)

Data for a relaxed structure of Ba2NiTe.

Computed properties:
Formation energy without anion corrections   -0.597 eV per atom
Crystal system   monoclinic
Theoretical density   5.64 Mg/m³

a = 4.1053 Å, b = 4.1094 Å, c = 8.0426 Å
α = 90.00°, β = 90.10°, γ = 90.00°
Closest atoms and distances in Å follow each position.
Space group P2/m (No. 10)
Asymmetric unit:
Ba 0.0008 0.0000 0.2604 [2 per cell]  4 Ni 3.48-3.49, 4 Te 3.58, 1 Ba 3.85
Ni 0.5000 0.5000 0.5000 [1 per cell]  8 Ba 3.48-3.49
Te 0.5000 0.5000 0.0000 [1 per cell]  8 Ba 3.58

***

Calculated V, 470.6 120.0 144.4 167.5 144.0 135.7 Å³ per cell (same order as the records).